Here is crystalline Sn2HgAu2 at its relaxed geometry from Alexandria. Energies are from PBE.

Results
Its formation energy is 0.1 eV/f.u. For the spin magnetization, the calculation gives 0.00 μB per formula unit. As for the total energy: -0.2175 Ry/atom. Its density is 10.858 Mg/m³. The density of states at the Fermi level comes out at 3.0 states/eV per cell.

a = 4.3613 Å, b = 4.3613 Å, c = 7.3654 Å
α = 72.78°, β = 72.78°, γ = 90.00°
With the nearest neighbours (Å) after each atom.
Fractional coordinates of all 5 atoms:
Sn: 0.6158 0.6158 0.7684  4 Au 2.82, 1 Sn 3.10
Sn: 0.3842 0.3842 0.2316  4 Au 2.82, 1 Sn 3.10
Au: 0.2500 0.7500 0.5000  4 Sn 2.82, 4 Au 3.08
Au: 0.7500 0.2500 0.5000  4 Sn 2.82, 4 Au 3.08
Hg: 0.0000 0.0000 0.0000  8 Sn 3.45